(1)
Below is a relaxed CsLaIN2 crystal, with properties calculated at the GGA-PBEsol level.

Lattice parameters (Å, degrees): 4.587 4.587 6.218 90.00 90.00 90.00
Positions (direct):
Cs  0.000  0.000  0.000
La  0.500  0.500  0.500
I  0.000  0.000  0.500
N  0.000  0.500  0.000
N  0.500  0.000  0.000


(2)
Below is a relaxed CsLaI2O crystal, with properties calculated at the GGA-PBEsol level.

Lattice parameters (Å, degrees): 6.575 6.575 4.370 90.00 90.00 90.00
Positions (direct):
Cs  0.000  0.000  0.000
La  0.500  0.500  0.500
I  0.000  0.500  0.000
I  0.500  0.000  0.000
O  0.000  0.000  0.500


| no. | total energy (eV/atom) | uncorrected formation energy (kJ/mol of formula units) |
| --- | --- | --- |
| 1 | -3.77 | 604 |
| 2 | -3.37 | -172 |